Density functional theory data (PBE) for TbZrU2P4 after structural relaxation.

Lattice parameters (Å, degrees): 6.7332 3.8829 6.8132 90.00 109.11 90.00
Last column: nearest neighbours and their distance in Å.
Positions (direct):
Tb  0.0000  0.0000  0.0000  6 P 2.78
Zr  0.5000  0.5000  0.0000  6 P 2.72
U  0.0000  0.5000  0.5000  6 P 2.80
U  0.5000  0.0000  0.5000  6 P 2.74
P  0.2580  0.5000  0.2499  1 Zr 2.72, 3 U 2.74-2.80, 2 Tb 2.78
P  0.2591  0.0000  0.7551  2 Zr 2.72, 3 U 2.74-2.80, 1 Tb 2.78
P  0.7409  0.0000  0.2449  2 Zr 2.72, 3 U 2.74-2.80, 1 Tb 2.78
P  0.7420  0.5000  0.7501  1 Zr 2.72, 3 U 2.74-2.80, 2 Tb 2.78

As for the space-group type: P2/m, No. 10. The density is 8.39 g/cm3. Its density of states at the Fermi level is 1.217 states/eV per atom. For the total energy, the calculation gives -0.619 Ry per atom.